Entry from Alexandria: crystalline Y2CoGeO6 at its relaxed geometry (GGA+U).

Values from the calculation:
Mass density in g/cm3: 5.89
Calculated volume in Å³/atom: 11.4
Electronic total energy in eV/atom: -7.746

Cell: 5.315 5.651 7.605 Å, 90.00 89.44 90.00°
Atoms (fractional coordinates):
Co (0.000, 0.500, 0.500)
Ge (0.000, 0.500, 0.000)
O (0.795, 0.818, 0.553)
Co (0.500, 0.000, 0.000)
Y (0.021, 0.929, 0.251)
Y (0.521, 0.571, 0.751)
Y (0.979, 0.071, 0.749)
O (0.887, 0.540, 0.239)
O (0.678, 0.290, 0.561)
O (0.113, 0.460, 0.761)
O (0.822, 0.790, 0.939)
O (0.295, 0.682, 0.053)
O (0.205, 0.182, 0.447)
Ge (0.500, 0.000, 0.500)
O (0.387, 0.960, 0.739)
O (0.178, 0.210, 0.061)
O (0.322, 0.710, 0.439)
O (0.705, 0.318, 0.947)
Y (0.479, 0.429, 0.249)
O (0.613, 0.040, 0.261)